First-principles (GGA-PBE) data for crystalline Sm4DyY3S8 at its relaxed geometry, as listed in Alexandria via LeMat-Bulk.

CIF file:
```
data_Sm4DyY3S8
_chemical_formula_sum 'Sm12 Dy3 Y9 S24'
_cell_length_a 7.9041
_cell_length_b 7.9041
_cell_length_c 19.5253
_cell_angle_alpha 90.00
_cell_angle_beta 90.00
_cell_angle_gamma 120.00
_symmetry_space_group_name_H-M 'R -3 m'
_symmetry_Int_Tables_number 166
_symmetry_space_group_name_Hall '-R 3 2"'
loop_
_atom_site_label
_atom_site_fract_x
_atom_site_fract_y
_atom_site_fract_z
_atom_site_occupancy
Sm1 0.0000 0.0000 0.0000 1
Sm2 0.0000 0.5000 0.0000 1
Dy1 0.0000 0.0000 0.5000 1
Y1 0.0000 0.5000 0.5000 1
S1 0.0000 0.0000 0.2468 1
S2 0.0006 0.5003 0.2467 1
```

## Properties
E_form (uncorrected) (eV/atom): -2.01